# Zn4HgW | Alexandria | PBE-GGA | relaxed
data_Zn4HgW
_cell_length_a 5.105
_cell_length_b 5.105
_cell_length_c 5.105
_cell_angle_alpha 60.00
_cell_angle_beta 60.00
_cell_angle_gamma 60.00
_space_group_name_H-M_alt 'P 1'
_space_group_IT_number 1
loop_
_space_group_symop_operation_xyz
'x,y,z'
loop_
_atom_site_label
_atom_site_type_symbol
_atom_site_fract_x
_atom_site_fract_y
_atom_site_fract_z
Zn1 Zn 0.880 0.373 0.373
Zn2 Zn 0.373 0.373 0.880
Zn3 Zn 0.373 0.880 0.373
Zn4 Zn 0.373 0.373 0.373
Hg1 Hg 0.750 0.750 0.750
W1 W 0.000 0.000 0.000
# Magnetization, μB per formula unit: 0.61
# Formation energy from the elements, eV per atom: 0.4923

# ZnHg2W | Alexandria | PBE-GGA | relaxed
data_ZnHg2W
_cell_length_a 2.946
_cell_length_b 3.961
_cell_length_c 6.442
_cell_angle_alpha 90.00
_cell_angle_beta 90.00
_cell_angle_gamma 90.00
_space_group_name_H-M_alt 'P 1'
_space_group_IT_number 1
loop_
_space_group_symop_operation_xyz
'x,y,z'
loop_
_atom_site_label
_atom_site_type_symbol
_atom_site_fract_x
_atom_site_fract_y
_atom_site_fract_z
Hg1 Hg 0.000 0.000 0.982
Hg2 Hg 0.500 0.500 0.273
W1 W 0.000 0.000 0.531
Zn1 Zn 0.500 0.500 0.714
# Magnetization, μB per formula unit: 0.00
# Formation energy from the elements, eV per atom: 0.6371

# ZnHg2W | Alexandria | PBE-GGA | relaxed
data_ZnHg2W
_cell_length_a 4.925
_cell_length_b 4.925
_cell_length_c 3.061
_cell_angle_alpha 90.00
_cell_angle_beta 90.00
_cell_angle_gamma 90.00
_space_group_name_H-M_alt 'P 1'
_space_group_IT_number 1
loop_
_space_group_symop_operation_xyz
'x,y,z'
loop_
_atom_site_label
_atom_site_type_symbol
_atom_site_fract_x
_atom_site_fract_y
_atom_site_fract_z
Hg1 Hg 0.000 0.000 0.000
Hg2 Hg 0.500 0.500 0.000
W1 W 0.500 0.000 0.500
Zn1 Zn 0.000 0.500 0.500
# Magnetization, μB per formula unit: 0.00
# Formation energy from the elements, eV per atom: 0.7024

# ZnHg4W | Alexandria | PBE-GGA | relaxed
data_ZnHg4W
_cell_length_a 5.763
_cell_length_b 5.763
_cell_length_c 5.763
_cell_angle_alpha 60.00
_cell_angle_beta 60.00
_cell_angle_gamma 60.00
_space_group_name_H-M_alt 'P 1'
_space_group_IT_number 1
loop_
_space_group_symop_operation_xyz
'x,y,z'
loop_
_atom_site_label
_atom_site_type_symbol
_atom_site_fract_x
_atom_site_fract_y
_atom_site_fract_z
Zn1 Zn 0.000 0.000 0.000
Hg1 Hg 0.875 0.375 0.375
Hg2 Hg 0.375 0.375 0.875
Hg3 Hg 0.375 0.875 0.375
Hg4 Hg 0.375 0.375 0.375
W1 W 0.750 0.750 0.750
# Magnetization, μB per formula unit: 3.43
# Formation energy from the elements, eV per atom: 1.0508

# ZnHg3W | Alexandria | PBE-GGA | relaxed
data_ZnHg3W
_cell_length_a 5.519
_cell_length_b 5.519
_cell_length_c 5.519
_cell_angle_alpha 90.00
_cell_angle_beta 90.00
_cell_angle_gamma 90.00
_space_group_name_H-M_alt 'P 1'
_space_group_IT_number 1
loop_
_space_group_symop_operation_xyz
'x,y,z'
loop_
_atom_site_label
_atom_site_type_symbol
_atom_site_fract_x
_atom_site_fract_y
_atom_site_fract_z
Zn1 Zn 0.500 0.500 0.500
Hg1 Hg 0.000 0.500 0.000
Hg2 Hg 0.000 0.000 0.500
Hg3 Hg 0.500 0.000 0.000
W1 W 0.000 0.000 0.000
# Magnetization, μB per formula unit: 3.55
# Formation energy from the elements, eV per atom: 1.0914
# E above lowest polymorph, meV/atom: 0

# ZnHg3W | Alexandria | PBE-GGA | relaxed
data_ZnHg3W
_cell_length_a 5.067
_cell_length_b 5.067
_cell_length_c 5.067
_cell_angle_alpha 90.00
_cell_angle_beta 90.00
_cell_angle_gamma 90.00
_space_group_name_H-M_alt 'P 1'
_space_group_IT_number 1
loop_
_space_group_symop_operation_xyz
'x,y,z'
loop_
_atom_site_label
_atom_site_type_symbol
_atom_site_fract_x
_atom_site_fract_y
_atom_site_fract_z
Zn1 Zn 0.000 0.000 0.000
Hg1 Hg 0.000 0.500 0.000
Hg2 Hg 0.000 0.000 0.500
Hg3 Hg 0.500 0.000 0.000
W1 W 0.500 0.500 0.500
# Magnetization, μB per formula unit: 4.47
# Formation energy from the elements, eV per atom: 1.3575
# E above lowest polymorph, meV/atom: 266

# ZnHg2W | Alexandria | PBE-GGA | relaxed
data_ZnHg2W
_cell_length_a 10.131
_cell_length_b 10.131
_cell_length_c 10.131
_cell_angle_alpha 16.89
_cell_angle_beta 16.89
_cell_angle_gamma 16.89
_space_group_name_H-M_alt 'P 1'
_space_group_IT_number 1
loop_
_space_group_symop_operation_xyz
'x,y,z'
loop_
_atom_site_label
_atom_site_type_symbol
_atom_site_fract_x
_atom_site_fract_y
_atom_site_fract_z
Hg1 Hg 0.007 0.007 0.007
Hg2 Hg 0.242 0.242 0.242
W1 W 0.494 0.494 0.494
Zn1 Zn 0.757 0.757 0.757
# Magnetization, μB per formula unit: 0.00
# Formation energy from the elements, eV per atom: 0.4852

# ZnHg2W | Alexandria | PBE-GGA | relaxed
data_ZnHg2W
_cell_length_a 9.616
_cell_length_b 9.616
_cell_length_c 9.616
_cell_angle_alpha 17.98
_cell_angle_beta 17.98
_cell_angle_gamma 17.98
_space_group_name_H-M_alt 'P 1'
_space_group_IT_number 1
loop_
_space_group_symop_operation_xyz
'x,y,z'
loop_
_atom_site_label
_atom_site_type_symbol
_atom_site_fract_x
_atom_site_fract_y
_atom_site_fract_z
Hg1 Hg 0.001 0.001 0.001
Hg2 Hg 0.499 0.499 0.499
W1 W 0.250 0.250 0.250
Zn1 Zn 0.750 0.750 0.750
# Magnetization, μB per formula unit: 0.00
# Formation energy from the elements, eV per atom: 0.6115

# ZnHg2W | Alexandria | PBE-GGA | relaxed
data_ZnHg2W
_cell_length_a 6.452
_cell_length_b 5.214
_cell_length_c 2.930
_cell_angle_alpha 89.85
_cell_angle_beta 63.26
_cell_angle_gamma 119.50
_space_group_name_H-M_alt 'P 1'
_space_group_IT_number 1
loop_
_space_group_symop_operation_xyz
'x,y,z'
loop_
_atom_site_label
_atom_site_type_symbol
_atom_site_fract_x
_atom_site_fract_y
_atom_site_fract_z
Hg1 Hg 0.000 0.000 0.000
Hg2 Hg 0.500 0.000 0.500
W1 W 0.000 0.500 0.500
Zn1 Zn 0.500 0.500 0.000
# Magnetization, μB per formula unit: 0.00
# Formation energy from the elements, eV per atom: 0.5497

# ZnHg2W | Alexandria | PBE-GGA | relaxed
data_ZnHg2W
_cell_length_a 5.790
_cell_length_b 5.790
_cell_length_c 5.790
_cell_angle_alpha 150.98
_cell_angle_beta 127.03
_cell_angle_gamma 61.53
_space_group_name_H-M_alt 'P 1'
_space_group_IT_number 1
loop_
_space_group_symop_operation_xyz
'x,y,z'
loop_
_atom_site_label
_atom_site_type_symbol
_atom_site_fract_x
_atom_site_fract_y
_atom_site_fract_z
Hg1 Hg 0.993 0.993 0.000
Hg2 Hg 0.507 0.507 0.000
W1 W 0.250 0.750 0.500
Zn1 Zn 0.750 0.250 0.500
# Magnetization, μB per formula unit: 0.00
# Formation energy from the elements, eV per atom: 0.7318

# ZnHgW | Alexandria | PBE-GGA | relaxed
data_ZnHgW
_cell_length_a 4.557
_cell_length_b 4.557
_cell_length_c 2.852
_cell_angle_alpha 90.00
_cell_angle_beta 90.00
_cell_angle_gamma 120.00
_space_group_name_H-M_alt 'P 1'
_space_group_IT_number 1
loop_
_space_group_symop_operation_xyz
'x,y,z'
loop_
_atom_site_label
_atom_site_type_symbol
_atom_site_fract_x
_atom_site_fract_y
_atom_site_fract_z
Hg1 Hg 0.000 0.000 0.833
W1 W 0.333 0.667 0.333
Zn1 Zn 0.667 0.333 0.834
# Magnetization, μB per formula unit: 0.32
# Formation energy from the elements, eV per atom: 0.7705
# E above lowest polymorph, meV/atom: 253

# ZnHg2W | Alexandria | PBE-GGA | relaxed
data_ZnHg2W
_cell_length_a 5.381
_cell_length_b 5.381
_cell_length_c 5.381
_cell_angle_alpha 135.88
_cell_angle_beta 135.88
_cell_angle_gamma 64.17
_space_group_name_H-M_alt 'P 1'
_space_group_IT_number 1
loop_
_space_group_symop_operation_xyz
'x,y,z'
loop_
_atom_site_label
_atom_site_type_symbol
_atom_site_fract_x
_atom_site_fract_y
_atom_site_fract_z
Hg1 Hg 0.000 0.000 0.000
Hg2 Hg 0.250 0.750 0.500
W1 W 0.500 0.500 0.000
Zn1 Zn 0.750 0.250 0.500
# Magnetization, μB per formula unit: 0.00
# Formation energy from the elements, eV per atom: 0.8245

Please write out number 12 again, unchanged.
# ZnHg2W | Alexandria | PBE-GGA | relaxed
data_ZnHg2W
_cell_length_a 5.381
_cell_length_b 5.381
_cell_length_c 5.381
_cell_angle_alpha 135.88
_cell_angle_beta 135.88
_cell_angle_gamma 64.17
_space_group_name_H-M_alt 'P 1'
_space_group_IT_number 1
loop_
_space_group_symop_operation_xyz
'x,y,z'
loop_
_atom_site_label
_atom_site_type_symbol
_atom_site_fract_x
_atom_site_fract_y
_atom_site_fract_z
Hg1 Hg 0.000 0.000 0.000
Hg2 Hg 0.250 0.750 0.500
W1 W 0.500 0.500 0.000
Zn1 Zn 0.750 0.250 0.500
# Magnetization, μB per formula unit: 0.00
# Formation energy from the elements, eV per atom: 0.8245

What did the eighth record say?
# ZnHg2W | Alexandria | PBE-GGA | relaxed
data_ZnHg2W
_cell_length_a 9.616
_cell_length_b 9.616
_cell_length_c 9.616
_cell_angle_alpha 17.98
_cell_angle_beta 17.98
_cell_angle_gamma 17.98
_space_group_name_H-M_alt 'P 1'
_space_group_IT_number 1
loop_
_space_group_symop_operation_xyz
'x,y,z'
loop_
_atom_site_label
_atom_site_type_symbol
_atom_site_fract_x
_atom_site_fract_y
_atom_site_fract_z
Hg1 Hg 0.001 0.001 0.001
Hg2 Hg 0.499 0.499 0.499
W1 W 0.250 0.250 0.250
Zn1 Zn 0.750 0.750 0.750
# Magnetization, μB per formula unit: 0.00
# Formation energy from the elements, eV per atom: 0.6115